Record 1
# Ag2IrPb

A geometry-optimized Ag2IrPb structure (PBEsol, Alexandria via LeMat-Bulk). Values from VASP.

## Properties
formation energy = 336 meV/atom
symmetry = I-4m2, No. 119
crystal system = tetragonal

```
&SYSTEM
  ibrav = 0, nat = 4, ntyp = 3
/
ATOMIC_SPECIES
Ag 107.87 Ag.upf
Ir 192.22 Ir.upf
Pb 207.20 Pb.upf
CELL_PARAMETERS angstrom
-2.081 2.081 4.048
2.081 -2.081 4.048
2.081 2.081 -4.048
ATOMIC_POSITIONS angstrom
Ag 0.000 0.000 0.000
Ag 0.000 2.081 2.024
Ir 2.081 0.000 2.024
Pb 0.000 0.000 4.048
```


Record 2
# AgIr2Pb

A geometry-optimized AgIr2Pb structure (PBEsol, Alexandria via LeMat-Bulk). Values from VASP.

## Properties
formation energy = 563 meV/atom
symmetry = P2/m, No. 10
crystal system = monoclinic

```
&SYSTEM
  ibrav = 0, nat = 4, ntyp = 3
/
ATOMIC_SPECIES
Ag 107.87 Ag.upf
Ir 192.22 Ir.upf
Pb 207.20 Pb.upf
CELL_PARAMETERS angstrom
2.900 0.000 0.000
0.000 4.707 0.000
-0.114 0.000 4.977
ATOMIC_POSITIONS angstrom
Ag 0.000 0.000 0.000
Ir 0.636 2.353 3.813
Ir 2.149 2.353 1.164
Pb 1.393 0.000 2.489
```


Record 3
# AgIr2Pb

A geometry-optimized AgIr2Pb structure (PBEsol, Alexandria via LeMat-Bulk). Values from VASP.

## Properties
formation energy = 695 meV/atom
symmetry = R-3m, No. 166
crystal system = trigonal

```
&SYSTEM
  ibrav = 0, nat = 4, ntyp = 3
/
ATOMIC_SPECIES
Ag 107.87 Ag.upf
Ir 192.22 Ir.upf
Pb 207.20 Pb.upf
CELL_PARAMETERS angstrom
1.494 0.863 8.810
-1.494 0.863 8.810
0.000 -1.725 8.810
ATOMIC_POSITIONS angstrom
Ag 0.000 0.000 0.000
Ir 0.000 0.000 6.620
Ir 0.000 0.000 19.811
Pb 0.000 0.000 13.216
```


Record 4
# Ag2IrPb

A geometry-optimized Ag2IrPb structure (PBEsol, Alexandria via LeMat-Bulk). Values from VASP.

## Properties
formation energy = 384 meV/atom
symmetry = C2/m, No. 12
crystal system = monoclinic

```
&SYSTEM
  ibrav = 0, nat = 4, ntyp = 3
/
ATOMIC_SPECIES
Ag 107.87 Ag.upf
Ir 192.22 Ir.upf
Pb 207.20 Pb.upf
CELL_PARAMETERS angstrom
2.754 -5.053 0.000
2.754 5.053 0.000
-1.615 0.000 2.590
ATOMIC_POSITIONS angstrom
Ag 1.377 2.527 0.000
Ag 1.377 -2.527 0.000
Ir -0.808 0.000 1.295
Pb 1.946 0.000 1.295
```


Record 5
# Ag2IrPb

A geometry-optimized Ag2IrPb structure (PBEsol, Alexandria via LeMat-Bulk). Values from VASP.

## Properties
formation energy = 367 meV/atom
symmetry = Cm, No. 8
crystal system = monoclinic

```
&SYSTEM
  ibrav = 0, nat = 4, ntyp = 3
/
ATOMIC_SPECIES
Ag 107.87 Ag.upf
Ir 192.22 Ir.upf
Pb 207.20 Pb.upf
CELL_PARAMETERS angstrom
4.677 -1.554 0.000
4.677 1.554 0.000
-1.034 0.000 4.936
ATOMIC_POSITIONS angstrom
Ag 0.000 0.000 0.000
Ag 6.793 0.000 0.973
Ir 1.705 0.000 3.535
Pb 4.291 0.000 2.541
```


Record 6
# AgIr2Pb

A geometry-optimized AgIr2Pb structure (PBEsol, Alexandria via LeMat-Bulk). Values from VASP.

## Properties
formation energy = 514 meV/atom
symmetry = C2/m, No. 12
crystal system = monoclinic

```
&SYSTEM
  ibrav = 0, nat = 4, ntyp = 3
/
ATOMIC_SPECIES
Ag 107.87 Ag.upf
Ir 192.22 Ir.upf
Pb 207.20 Pb.upf
CELL_PARAMETERS angstrom
4.609 -1.480 0.000
4.609 1.480 0.000
-0.872 0.000 4.924
ATOMIC_POSITIONS angstrom
Ag 0.000 0.000 0.000
Ir 1.649 0.000 3.786
Ir 6.697 0.000 1.138
Pb 4.173 0.000 2.462
```


Record 7
# AgIrPb2

A geometry-optimized AgIrPb2 structure (PBEsol, Alexandria via LeMat-Bulk). Values from VASP.

## Properties
formation energy = 399 meV/atom
symmetry = R-3m, No. 166
crystal system = trigonal

```
&SYSTEM
  ibrav = 0, nat = 4, ntyp = 3
/
ATOMIC_SPECIES
Ag 107.87 Ag.upf
Ir 192.22 Ir.upf
Pb 207.20 Pb.upf
CELL_PARAMETERS angstrom
1.654 0.955 8.879
-1.654 0.955 8.879
0.000 -1.910 8.879
ATOMIC_POSITIONS angstrom
Ag 0.000 0.000 0.000
Ir 0.000 0.000 13.319
Pb 0.000 0.000 6.505
Pb 0.000 0.000 20.133
```


Record 8
# Pr2AgIr

A geometry-optimized Pr2AgIr structure (PBEsol, Alexandria via LeMat-Bulk). Values from VASP.

## Properties
formation energy = -378 meV/atom
symmetry = Fm-3m, No. 225
crystal system = cubic

```
&SYSTEM
  ibrav = 0, nat = 4, ntyp = 3
/
ATOMIC_SPECIES
Pr 140.91 Pr.upf
Ag 107.87 Ag.upf
Ir 192.22 Ir.upf
CELL_PARAMETERS angstrom
0.000 3.594 3.594
3.594 0.000 3.594
3.594 3.594 0.000
ATOMIC_POSITIONS angstrom
Pr 1.797 1.797 1.797
Pr 5.391 5.391 5.391
Ag 0.000 0.000 0.000
Ir 3.594 3.594 3.594
```


Record 9
# AgIrPt2

A geometry-optimized AgIrPt2 structure (PBEsol, Alexandria via LeMat-Bulk). Values from VASP.

## Properties
formation energy = 161 meV/atom
relative energy among the computed polymorphs = 91 meV/atom
symmetry = P4mm, No. 99
crystal system = tetragonal

```
&SYSTEM
  ibrav = 0, nat = 4, ntyp = 3
/
ATOMIC_SPECIES
Ag 107.87 Ag.upf
Ir 192.22 Ir.upf
Pt 195.08 Pt.upf
CELL_PARAMETERS angstrom
2.746 0.000 0.000
0.000 2.746 0.000
0.000 0.000 8.027
ATOMIC_POSITIONS angstrom
Ag 0.000 0.000 0.000
Ir 1.373 1.373 2.094
Pt 0.000 0.000 3.945
Pt 1.373 1.373 5.926
```


Record 10
# AgIrPt

A geometry-optimized AgIrPt structure (PBEsol, Alexandria via LeMat-Bulk). Values from VASP.

## Properties
formation energy = 811 meV/atom
symmetry = F-43m, No. 216
crystal system = cubic

```
&SYSTEM
  ibrav = 0, nat = 3, ntyp = 3
/
ATOMIC_SPECIES
Ag 107.87 Ag.upf
Ir 192.22 Ir.upf
Pt 195.08 Pt.upf
CELL_PARAMETERS angstrom
0.000 3.001 3.001
3.001 0.000 3.001
3.001 3.001 0.000
ATOMIC_POSITIONS angstrom
Ag 0.000 0.000 0.000
Ir 4.502 4.502 4.502
Pt 3.001 3.001 3.001
```


Record 11
# AgIrPt2

A geometry-optimized AgIrPt2 structure (PBEsol, Alexandria via LeMat-Bulk). Values from VASP.

## Properties
formation energy = 70 meV/atom
relative energy among the computed polymorphs = 0 meV/atom
symmetry = P4/mmm, No. 123
crystal system = tetragonal

```
&SYSTEM
  ibrav = 0, nat = 4, ntyp = 3
/
ATOMIC_SPECIES
Ag 107.87 Ag.upf
Ir 192.22 Ir.upf
Pt 195.08 Pt.upf
CELL_PARAMETERS angstrom
2.751 0.000 0.000
0.000 2.751 0.000
0.000 0.000 7.989
ATOMIC_POSITIONS angstrom
Ag 0.000 0.000 0.000
Ir 0.000 0.000 3.995
Pt 1.375 1.375 2.114
Pt 1.375 1.375 5.875
```


Record 12
# Ag2IrPt

A geometry-optimized Ag2IrPt structure (PBEsol, Alexandria via LeMat-Bulk). Values from VASP.

## Properties
formation energy = 341 meV/atom
relative energy among the computed polymorphs = 165 meV/atom
symmetry = Pmmm, No. 47
crystal system = orthorhombic

```
&SYSTEM
  ibrav = 0, nat = 4, ntyp = 3
/
ATOMIC_SPECIES
Ag 107.87 Ag.upf
Ir 192.22 Ir.upf
Pt 195.08 Pt.upf
CELL_PARAMETERS angstrom
2.673 0.000 0.000
0.000 4.225 0.000
0.000 0.000 5.472
ATOMIC_POSITIONS angstrom
Ag 0.000 0.000 1.359
Ag 0.000 0.000 4.113
Ir 1.337 2.113 0.000
Pt 1.337 2.113 2.736
```


Record 13
# AgIr2Pt

A geometry-optimized AgIr2Pt structure (PBEsol, Alexandria via LeMat-Bulk). Values from VASP.

## Properties
formation energy = 257 meV/atom
relative energy among the computed polymorphs = 0 meV/atom
symmetry = Cmm2, No. 35
crystal system = orthorhombic

```
&SYSTEM
  ibrav = 0, nat = 4, ntyp = 3
/
ATOMIC_SPECIES
Ag 107.87 Ag.upf
Ir 192.22 Ir.upf
Pt 195.08 Pt.upf
CELL_PARAMETERS angstrom
1.348 -2.361 0.000
1.348 2.361 0.000
0.000 0.000 9.497
ATOMIC_POSITIONS angstrom
Ag 0.000 0.000 0.000
Ir 0.000 0.000 4.684
Ir 1.348 0.000 2.448
Pt 1.348 0.000 7.052
```


Record 14
# Ag2IrPt

A geometry-optimized Ag2IrPt structure (PBEsol, Alexandria via LeMat-Bulk). Values from VASP.

## Properties
formation energy = 534 meV/atom
relative energy among the computed polymorphs = 358 meV/atom
symmetry = Fm-3m, No. 225
crystal system = cubic

```
&SYSTEM
  ibrav = 0, nat = 4, ntyp = 3
/
ATOMIC_SPECIES
Ag 107.87 Ag.upf
Ir 192.22 Ir.upf
Pt 195.08 Pt.upf
CELL_PARAMETERS angstrom
0.000 3.142 3.142
3.142 0.000 3.142
3.142 3.142 0.000
ATOMIC_POSITIONS angstrom
Ag 1.571 1.571 1.571
Ag 4.712 4.712 4.712
Ir 0.000 0.000 0.000
Pt 3.142 3.142 3.142
```


Record 15
# AgIrPt2

A geometry-optimized AgIrPt2 structure (PBEsol, Alexandria via LeMat-Bulk). Values from VASP.

## Properties
formation energy = 218 meV/atom
relative energy among the computed polymorphs = 148 meV/atom
symmetry = I-4m2, No. 119
crystal system = tetragonal

```
&SYSTEM
  ibrav = 0, nat = 4, ntyp = 3
/
ATOMIC_SPECIES
Ag 107.87 Ag.upf
Ir 192.22 Ir.upf
Pt 195.08 Pt.upf
CELL_PARAMETERS angstrom
-1.965 1.965 3.879
1.965 -1.965 3.879
1.965 1.965 -3.879
ATOMIC_POSITIONS angstrom
Ag 0.000 0.000 0.000
Ir 0.000 1.965 1.939
Pt 1.965 0.000 1.939
Pt 0.000 0.000 3.879
```


Record 16
# AgIr2Pt

A geometry-optimized AgIr2Pt structure (PBEsol, Alexandria via LeMat-Bulk). Values from VASP.

## Properties
formation energy = 338 meV/atom
relative energy among the computed polymorphs = 81 meV/atom
symmetry = Cmmm, No. 65
crystal system = orthorhombic

```
&SYSTEM
  ibrav = 0, nat = 4, ntyp = 3
/
ATOMIC_SPECIES
Ag 107.87 Ag.upf
Ir 192.22 Ir.upf
Pt 195.08 Pt.upf
CELL_PARAMETERS angstrom
1.347 -2.355 0.000
1.347 2.355 0.000
0.000 0.000 9.486
ATOMIC_POSITIONS angstrom
Ag 0.000 0.000 0.000
Ir 1.347 0.000 2.416
Ir 1.347 0.000 7.070
Pt 0.000 0.000 4.743
```


Record 17
# Ag2IrPt

A geometry-optimized Ag2IrPt structure (PBEsol, Alexandria via LeMat-Bulk). Values from VASP.

## Properties
formation energy = 176 meV/atom
relative energy among the computed polymorphs = 0 meV/atom
symmetry = C2/m, No. 12
crystal system = monoclinic

```
&SYSTEM
  ibrav = 0, nat = 4, ntyp = 3
/
ATOMIC_SPECIES
Ag 107.87 Ag.upf
Ir 192.22 Ir.upf
Pt 195.08 Pt.upf
CELL_PARAMETERS angstrom
4.754 -1.363 0.000
4.754 1.363 0.000
-0.796 0.000 4.727
ATOMIC_POSITIONS angstrom
Ag 2.167 0.000 1.173
Ag 6.544 0.000 3.554
Ir 4.754 0.000 0.000
Pt -0.398 0.000 2.363
```


Record 18
# Ag2IrPt

A geometry-optimized Ag2IrPt structure (PBEsol, Alexandria via LeMat-Bulk). Values from VASP.

## Properties
formation energy = 375 meV/atom
relative energy among the computed polymorphs = 199 meV/atom
symmetry = I4/mmm, No. 139
crystal system = tetragonal

```
&SYSTEM
  ibrav = 0, nat = 4, ntyp = 3
/
ATOMIC_SPECIES
Ag 107.87 Ag.upf
Ir 192.22 Ir.upf
Pt 195.08 Pt.upf
CELL_PARAMETERS angstrom
-1.922 1.922 4.179
1.922 -1.922 4.179
1.922 1.922 -4.179
ATOMIC_POSITIONS angstrom
Ag 1.922 0.000 2.090
Ag 0.000 1.922 2.090
Ir 0.000 0.000 0.000
Pt 0.000 0.000 4.179
```


Record 19
# Ag2IrPt

A geometry-optimized Ag2IrPt structure (PBEsol, Alexandria via LeMat-Bulk). Values from VASP.

## Properties
formation energy = 511 meV/atom
relative energy among the computed polymorphs = 335 meV/atom
symmetry = P4/mmm, No. 123
crystal system = tetragonal

```
&SYSTEM
  ibrav = 0, nat = 4, ntyp = 3
/
ATOMIC_SPECIES
Ag 107.87 Ag.upf
Ir 192.22 Ir.upf
Pt 195.08 Pt.upf
CELL_PARAMETERS angstrom
3.141 0.000 0.000
0.000 3.141 0.000
0.000 0.000 6.279
ATOMIC_POSITIONS angstrom
Ag 0.000 0.000 1.560
Ag 0.000 0.000 4.719
Ir 1.571 1.571 0.000
Pt 1.571 1.571 3.140
```


Record 20
# Ag2IrPt

A geometry-optimized Ag2IrPt structure (PBEsol, Alexandria via LeMat-Bulk). Values from VASP.

## Properties
formation energy = 411 meV/atom
relative energy among the computed polymorphs = 235 meV/atom
symmetry = F-43m, No. 216
crystal system = cubic

```
&SYSTEM
  ibrav = 0, nat = 4, ntyp = 3
/
ATOMIC_SPECIES
Ag 107.87 Ag.upf
Ir 192.22 Ir.upf
Pt 195.08 Pt.upf
CELL_PARAMETERS angstrom
0.000 3.143 3.143
3.143 0.000 3.143
3.143 3.143 0.000
ATOMIC_POSITIONS angstrom
Ag 0.000 0.000 0.000
Ag 1.571 1.571 1.571
Ir 3.143 3.143 3.143
Pt 4.714 4.714 4.714
```